1.
Here is a relaxed structure of HoCdAg from Alexandria via LeMat-Bulk. Energies are from PBE-GGA.

The value obtained for the total energy is -2.9152 eV/atom.

It has space group F-43m (No. 216), with a = 6.781 Å, b = 6.781 Å, c = 6.781 Å, α = 90.00°, β = 90.00° and γ = 90.00°. Symmetry generates all atoms from Ho at (0.000, 0.000, 0.000), Cd at (0.000, 0.000, 0.500) and Ag at (0.250, 0.250, 0.250).

---

2.
Here is a relaxed structure of Ce4Rh2Cl3 from Alexandria via LeMat-Bulk. Energies are from PBE-GGA.

Its uncorrected formation energy is -1.28 eV/atom.

It has space group C2/m (No. 12), with a = 6.974 Å, b = 4.026 Å, c = 17.516 Å, α = 90.00°, β = 90.04° and γ = 90.00°. Symmetry generates all atoms from Ce at (0.001, 0.000, 0.306), Ce at (0.166, 0.500, 0.878), Rh at (0.167, 0.500, 0.210), Cl at (0.000, 0.000, 0.000) and Cl at (0.166, 0.500, 0.593).

---

3.
Here is a relaxed structure of TaIrPt2 from Alexandria via LeMat-Bulk. Energies are from PBE-GGA.

The value obtained for the total energy is -8.7663 eV/atom.

It has space group Pmma (No. 51), with a = 3.954 Å, b = 3.917 Å, c = 8.199 Å, α = 90.00°, β = 90.00° and γ = 90.00°. Symmetry generates all atoms from Ta at (0.250, 0.000, 0.140), Ir at (0.250, 0.500, 0.879), Pt at (0.250, 0.000, 0.639) and Pt at (0.250, 0.500, 0.369).

---

4.
Here is a relaxed structure of YPa2FeC4 from Alexandria via LeMat-Bulk. Energies are from PBE-GGA.

The value obtained for the total energy is -9.0077 eV/atom.

It has space group Cmcm (No. 63), with a = 3.516 Å, b = 11.474 Å, c = 11.915 Å, α = 90.00°, β = 90.00° and γ = 90.00°. Symmetry generates all atoms from Y at (0.000, 0.112, 0.250), Pa at (0.000, 0.366, 0.047), Fe at (0.000, 0.159, 0.750), C at (0.000, 0.000, 0.000), C at (0.000, 0.264, 0.630) and C at (0.000, 0.412, 0.250).

---

5.
Here is a relaxed structure of Ba2CrTcN from Alexandria via LeMat-Bulk. Energies are from PBE-GGA.

Its uncorrected formation energy is 1.32 eV/atom.

It has space group P4/mmm (No. 123), with a = 5.847 Å, b = 5.847 Å, c = 4.480 Å, α = 90.00°, β = 90.00° and γ = 90.00°. Symmetry generates all atoms from Ba at (0.000, 0.500, 0.000), Cr at (0.000, 0.000, 0.500), Tc at (0.000, 0.000, 0.000) and N at (0.500, 0.500, 0.500).

---

6.
Here is a relaxed structure of ThPaTcNi from Alexandria via LeMat-Bulk. Energies are from PBE-GGA.

The value obtained for the total energy is -8.5775 eV/atom.

It has space group R3m (No. 160, hexagonal axes), with a = 4.3923 Å, b = 4.3923 Å, c = 15.7631 Å, α = 90.00°, β = 90.00° and γ = 120.00°. Symmetry generates all atoms from Th at (0.0000, 0.0000, 0.0000), Pa at (0.0000, 0.0000, 0.4993), Tc at (0.0000, 0.0000, 0.2169) and Ni at (0.0000, 0.0000, 0.7865).

---

7.
Here is a relaxed structure of LiSb2 from Alexandria via LeMat-Bulk. Energies are from PBE-GGA.

Its uncorrected formation energy is -0.17 eV/atom.

It has space group Fm-3m (No. 225), with a = 6.658 Å, b = 6.658 Å, c = 6.658 Å, α = 90.00°, β = 90.00° and γ = 90.00°. Symmetry generates all atoms from Li at (0.000, 0.000, 0.000) and Sb at (0.250, 0.250, 0.250).

---

8.
Here is a relaxed structure of Ce2NdAu3 from Alexandria via LeMat-Bulk. Energies are from PBE-GGA.

The value obtained for the total energy is -5.0579 eV/atom.

It has space group P4/mmm (No. 123), with a = 3.678 Å, b = 3.678 Å, c = 11.258 Å, α = 90.00°, β = 90.00° and γ = 90.00°. Symmetry generates all atoms from Ce at (0.000, 0.000, 0.166), Nd at (0.000, 0.000, 0.500), Au at (0.500, 0.500, 0.000) and Au at (0.500, 0.500, 0.333).

---

9.
Here is a relaxed structure of Al2TcBr from Alexandria via LeMat-Bulk. Energies are from PBE-GGA.

Its uncorrected formation energy is 0.44 eV/atom.

It has space group I4/mmm (No. 139), with a = 4.015 Å, b = 4.015 Å, c = 8.231 Å, α = 90.00°, β = 90.00° and γ = 90.00°. Symmetry generates all atoms from Al at (0.000, 0.500, 0.250), Tc at (0.000, 0.000, 0.000) and Br at (0.000, 0.000, 0.500).

---

10.
Here is a relaxed structure of YRu2RhF from Alexandria via LeMat-Bulk. Energies are from PBE-GGA.

Its uncorrected formation energy is 0.27 eV/atom.

It has space group P4/mmm (No. 123), with a = 4.201 Å, b = 4.201 Å, c = 4.628 Å, α = 90.00°, β = 90.00° and γ = 90.00°. Symmetry generates all atoms from Y at (0.000, 0.000, 0.000), Ru at (0.000, 0.500, 0.500), Rh at (0.500, 0.500, 0.000) and F at (0.500, 0.500, 0.500).

---

11.
Here is a relaxed structure of Tb3SmAl4 from Alexandria via LeMat-Bulk. Energies are from PBE-GGA.

The value obtained for the total energy is -4.5865 eV/atom.

It has space group Pmma (No. 51), with a = 10.261 Å, b = 7.288 Å, c = 5.132 Å, α = 90.00°, β = 90.00° and γ = 90.00°. Symmetry generates all atoms from Tb at (0.000, 0.000, 0.000), Tb at (0.250, 0.000, 0.499), Tb at (0.250, 0.500, 0.499), Sm at (0.000, 0.500, 0.000), Al at (0.000, 0.246, 0.500) and Al at (0.250, 0.246, 0.999).

---

12.
Here is a relaxed structure of RbH2Pb from Alexandria via LeMat-Bulk. Energies are from PBE-GGA.

The value obtained for the total energy is -2.6081 eV/atom.

It has space group I-42d (No. 122), with a = 5.551 Å, b = 5.551 Å, c = 12.490 Å, α = 90.00°, β = 90.00° and γ = 90.00°. Symmetry generates all atoms from Rb at (0.000, 0.000, 0.000), H at (0.153, 0.250, 0.625) and Pb at (0.000, 0.000, 0.500).

---

13.
Here is a relaxed structure of Nd2MgMnSe5 from Alexandria via LeMat-Bulk. Energies are from PBE-GGA.

Its uncorrected formation energy is -1.40 eV/atom.

It has space group Cmc2_1 (No. 36), with a = 4.115 Å, b = 17.460 Å, c = 12.105 Å, α = 90.00°, β = 90.00° and γ = 90.00°. Symmetry generates all atoms from Nd at (0.000, 0.114, 0.000), Nd at (0.000, 0.130, 0.617), Mg at (0.000, 0.205, 0.328), Mn at (0.000, 0.436, 0.770), Se at (0.000, 0.048, 0.380), Se at (0.000, 0.287, 0.978), Se at (0.000, 0.309, 0.665), Se at (0.000, 0.357, 0.313) and Se at (0.000, 0.498, 0.090).

---

14.
Here is a relaxed structure of ScAsRu3 from Alexandria via LeMat-Bulk. Energies are from PBE-GGA.

The value obtained for the total energy is -6.2013 eV/atom.

It has space group Pm-3m (No. 221), with a = 4.595 Å, b = 4.595 Å, c = 4.595 Å, α = 90.00°, β = 90.00° and γ = 90.00°. Symmetry generates all atoms from Sc at (0.000, 0.000, 0.000), As at (0.500, 0.500, 0.500) and Ru at (0.000, 0.000, 0.500).

---

15.
Here is a relaxed structure of Sm2TiZn2Rh5 from Alexandria via LeMat-Bulk. Energies are from PBE-GGA.

The value obtained for the total energy is -6.2808 eV/atom.

It has space group P4/mbm (No. 127), with a = 9.977 Å, b = 9.977 Å, c = 3.460 Å, α = 90.00°, β = 90.00° and γ = 90.00°. Symmetry generates all atoms from Sm at (0.172, 0.328, 0.000), Ti at (0.000, 0.000, 0.000), Zn at (0.127, 0.627, 0.000), Rh at (0.000, 0.500, 0.500) and Rh at (0.063, 0.803, 0.500).

---

16.
Here is a relaxed structure of KCdAgI4 from Alexandria via LeMat-Bulk. Energies are from PBE-GGA.

Its uncorrected formation energy is -0.72 eV/atom.

It has space group P2_1/m (No. 11), with a = 7.322 Å, b = 8.907 Å, c = 9.528 Å, α = 90.00°, β = 100.81° and γ = 90.00°. Symmetry generates all atoms from K at (0.175, 0.250, 0.058), Cd at (0.225, 0.750, 0.321), Ag at (0.297, 0.250, 0.689), I at (0.038, 0.012, 0.731), I at (0.392, 0.750, 0.068) and I at (0.475, 0.250, 0.450).

---

17.
Here is a relaxed structure of CaCuPd2 from Alexandria via LeMat-Bulk. Energies are from PBE-GGA.

The value obtained for the total energy is -4.5214 eV/atom.

It has space group R-3m (No. 166, hexagonal axes), with a = 4.4031 Å, b = 4.4031 Å, c = 13.9811 Å, α = 90.00°, β = 90.00° and γ = 120.00°. Symmetry generates all atoms from Ca at (0.0000, 0.0000, 0.0000), Cu at (0.0000, 0.0000, 0.5000) and Pd at (0.0000, 0.0000, 0.2057).

---

18.
Here is a relaxed structure of Nb2CoNi2 from Alexandria via LeMat-Bulk. Energies are from PBE-GGA.

The value obtained for the total energy is -7.8293 eV/atom.

It has space group P4/mbm (No. 127), with a = 6.615 Å, b = 6.615 Å, c = 3.213 Å, α = 90.00°, β = 90.00° and γ = 90.00°. Symmetry generates all atoms from Nb at (0.179, 0.321, 0.000), Co at (0.000, 0.000, 0.500) and Ni at (0.126, 0.626, 0.500).

---

19.
Here is a relaxed structure of AcPrSiRh from Alexandria via LeMat-Bulk. Energies are from PBE-GGA.

Its uncorrected formation energy is -0.41 eV/atom.

It has space group F-43m (No. 216), with a = 7.432 Å, b = 7.432 Å, c = 7.432 Å, α = 90.00°, β = 90.00° and γ = 90.00°. Symmetry generates all atoms from Ac at (0.000, 0.000, 0.000), Pr at (0.000, 0.000, 0.500), Si at (0.250, 0.250, 0.750) and Rh at (0.250, 0.250, 0.250).

---

20.
Here is a relaxed structure of K3WBr2Cl6 from Alexandria via LeMat-Bulk. Energies are from PBE-GGA.

Its uncorrected formation energy is -1.29 eV/atom.

It has space group C2/m (No. 12), with a = 16.308 Å, b = 8.953 Å, c = 5.740 Å, α = 90.00°, β = 90.95° and γ = 90.00°. Symmetry generates all atoms from K at (0.000, 0.000, 0.000), K at (0.250, 0.250, 0.500), W at (0.000, 0.500, 0.500), Br at (0.188, 0.000, 0.136), Cl at (0.062, 0.314, 0.732) and Cl at (0.115, 0.500, 0.261).